Here is a relaxed structure of Tl4NiP from the Alexandria database. Energies are from GGA-PBE.

Unit cell a=6.208 b=6.208 c=6.208 alpha=60.00 beta=60.00 gamma=60.00
Element x y z (fractional)
Tl1 0.125 0.125 0.125
Tl2 0.125 0.125 0.624
Tl3 0.125 0.624 0.125
Tl4 0.624 0.125 0.125
Ni1 0.750 0.750 0.750
P1 0.500 0.500 0.500

## Properties
- Density of states at the Fermi level: 6.93 states/eV per cell
- Total DFT energy (no corrections): -2.59 eV per atom
- Size of the total moment: 0.58 μB per cell